Record 1
Material: PtAu2F8
Method: DFT, PBE-GGA
State: relaxed

Results
**Fermi-level density of states**: 0.561 states/eV/atom
**E_form (uncorrected)**: -1.03 eV per atom
**Total magnetic moment**: 0.37 μB/f.u.

a = 5.560 Å, b = 5.905 Å, c = 6.292 Å
α = 81.98°, β = 71.96°, γ = 65.15°
Space group P-1 (No. 2)
Inequivalent atoms, fractional coordinates:
Pt 0.000 0.000 0.000 x1
Au 0.237 0.545 0.585 x2
F 0.129 0.942 0.265 x2
F 0.210 0.401 0.326 x2
F 0.259 0.667 0.869 x2
F 0.266 0.144 0.845 x2

---

Record 2
Material: PtAu2F
Method: DFT, PBE-GGA
State: relaxed

Results
**Fermi-level density of states**: 1.594 states/eV/atom
**E_form (uncorrected)**: -0.02 eV per atom
**Total magnetic moment**: 0.00 μB/f.u.

a = 6.350 Å, b = 6.350 Å, c = 6.350 Å
α = 90.00°, β = 90.00°, γ = 90.00°
Space group Fm-3m (No. 225)
Inequivalent atoms, fractional coordinates:
Pt 0.000 0.000 0.000 x4
Au 0.250 0.250 0.250 x8
F 0.000 0.000 0.500 x4

---

Record 3
Material: Pt3AuF
Method: DFT, PBE-GGA
State: relaxed

Results
**Fermi-level density of states**: 1.352 states/eV/atom
**E_form (uncorrected)**: 0.79 eV per atom
**Total magnetic moment**: 0.90 μB/f.u.

a = 4.381 Å, b = 4.381 Å, c = 4.381 Å
α = 90.00°, β = 90.00°, γ = 90.00°
Space group Pm-3m (No. 221)
Inequivalent atoms, fractional coordinates:
Pt 0.000 0.000 0.500 x3
Au 0.500 0.500 0.500 x1
F 0.000 0.000 0.000 x1